This record from Alexandria via LeMat-Bulk describes a geometry-optimized KCrFe2Sn structure. The functional is GGA-PBEsol.

Values from the calculation:
Energy = -4.963 eV per atom
Calculated volume = 28.147 A^3/atom
Space group = P4/mmm (123)

Unit cell a=4.8739 b=4.8739 c=5.9246 alpha=90.00 beta=90.00 gamma=90.00
Last column: nearest neighbours and their distance in Å.
Fractional coordinates of all 5 atoms:
K (0.0000, 0.0000, 0.0000)  2 Sn 2.96
Cr (0.5000, 0.5000, 0.0000)  4 K 3.45, 8 Fe 3.84
Fe (0.0000, 0.5000, 0.5000)  2 Sn 2.44
Fe (0.5000, 0.0000, 0.5000)  2 Sn 2.44
Sn (0.0000, 0.0000, 0.5000)  4 Fe 2.44